(1)
! ScBe2Fe, optimized geometry, DFT PBE-GGA; values from VASP
&SYSTEM
  ibrav = 0, nat = 4, ntyp = 3
/
ATOMIC_SPECIES
Sc 44.96 Sc.upf
Be 9.01 Be.upf
Fe 55.84 Fe.upf
ATOMIC_POSITIONS angstrom
Sc 0.000 0.000 0.000
Be 1.847 0.000 1.737
Be 0.000 1.847 1.737
Fe 0.000 0.000 3.474
CELL_PARAMETERS angstrom
-1.847 1.847 3.474
1.847 -1.847 3.474
1.847 1.847 -3.474
! Electronic total energy, eV/atom: -5.576
! Crystal system: tetragonal
! Density, g/cm3: 4.162
! Total magnetization, μB per formula unit: 0.56
! Symmetry: I4/mmm (139)

---

(2)
! Ac2GaPt, optimized geometry, DFT PBE-GGA; values from VASP
&SYSTEM
  ibrav = 0, nat = 8, ntyp = 3
/
ATOMIC_SPECIES
Ac 227.00 Ac.upf
Ga 69.72 Ga.upf
Pt 195.08 Pt.upf
ATOMIC_POSITIONS angstrom
Ac -0.075 1.127 3.438
Ac 1.607 3.382 0.478
Ac 1.673 1.127 7.841
Ac 3.354 3.382 4.881
Ga 0.135 3.382 5.889
Ga 3.144 1.127 2.429
Pt -1.578 1.127 6.591
Pt 4.857 3.382 1.728
CELL_PARAMETERS angstrom
6.331 0.000 0.000
0.000 4.510 0.000
-3.052 0.000 8.319
! Electronic total energy, eV/atom: -5.111
! Crystal system: monoclinic
! Density, g/cm3: 10.050
! Total magnetization, μB per formula unit: 0.00
! Symmetry: P2_1/m (11)

---

(3)
! Li2LaYAu4, optimized geometry, DFT PBE-GGA; values from VASP
&SYSTEM
  ibrav = 0, nat = 8, ntyp = 4
/
ATOMIC_SPECIES
Li 6.94 Li.upf
La 138.91 La.upf
Y 88.91 Y.upf
Au 196.97 Au.upf
ATOMIC_POSITIONS angstrom
Li 0.000 0.000 6.867
Li 0.000 0.000 21.249
La 0.000 0.000 0.000
Y 0.000 0.000 14.058
Au 0.000 0.000 3.200
Au 0.000 0.000 11.071
Au 0.000 0.000 17.045
Au 0.000 0.000 24.917
CELL_PARAMETERS angstrom
2.307 1.332 9.372
-2.307 1.332 9.372
0.000 -2.663 9.372
! Electronic total energy, eV/atom: -4.260
! Crystal system: trigonal
! Density, g/cm3: 9.897
! Total magnetization, μB per formula unit: 0.00
! Symmetry: R-3m (166)

---

(4)
! LiAlSe2, optimized geometry, DFT PBE-GGA; values from VASP
&SYSTEM
  ibrav = 0, nat = 4, ntyp = 3
/
ATOMIC_SPECIES
Li 6.94 Li.upf
Al 26.98 Al.upf
Se 78.96 Se.upf
ATOMIC_POSITIONS angstrom
Li 0.000 0.000 0.000
Al 1.787 1.787 3.545
Se 0.000 0.000 2.722
Se 1.787 1.787 5.896
CELL_PARAMETERS angstrom
3.574 0.000 0.000
0.000 3.574 0.000
0.000 0.000 6.443
! Energy relative to the elements, uncorrected, kcal/mol of atoms: -19.3
! Electronic total energy, eV/atom: -3.992
! Crystal system: tetragonal
! Density, g/cm3: 3.870
! Total magnetization, μB per formula unit: 0.00
! Symmetry: P4mm (99)

---

(5)
! CaPrEuLu, optimized geometry, DFT PBE-GGA; values from VASP
&SYSTEM
  ibrav = 0, nat = 4, ntyp = 4
/
ATOMIC_SPECIES
Ca 40.08 Ca.upf
Pr 140.91 Pr.upf
Eu 151.96 Eu.upf
Lu 174.97 Lu.upf
ATOMIC_POSITIONS angstrom
Ca 0.000 0.000 0.000
Pr 2.086 2.086 2.086
Eu 6.257 6.257 6.257
Lu 4.171 4.171 4.171
CELL_PARAMETERS angstrom
0.000 4.171 4.171
4.171 0.000 4.171
4.171 4.171 0.000
! Electronic total energy, eV/atom: -5.265
! Crystal system: cubic
! Density, g/cm3: 5.811
! Total magnetization, μB per formula unit: 7.24
! Symmetry: F-43m (216)

---

(6)
! BaGa2Pt2, optimized geometry, DFT PBE-GGA; values from VASP
&SYSTEM
  ibrav = 0, nat = 5, ntyp = 3
/
ATOMIC_SPECIES
Ba 137.33 Ba.upf
Ga 69.72 Ga.upf
Pt 195.08 Pt.upf
ATOMIC_POSITIONS angstrom
Ba 0.000 0.000 0.000
Ga 2.231 0.000 2.759
Ga 0.000 2.231 2.759
Pt 0.000 0.000 4.071
Pt 0.000 0.000 6.965
CELL_PARAMETERS angstrom
-2.231 2.231 5.518
2.231 -2.231 5.518
2.231 2.231 -5.518
! Electronic total energy, eV/atom: -4.793
! Crystal system: tetragonal
! Density, g/cm3: 10.079
! Total magnetization, μB per formula unit: 0.00
! Symmetry: I4/mmm (139)

---

(7)
! Ho12Tl6H, optimized geometry, DFT PBE-GGA; values from VASP
&SYSTEM
  ibrav = 0, nat = 19, ntyp = 3
/
ATOMIC_SPECIES
Ho 164.93 Ho.upf
Tl 204.38 Tl.upf
H 1.01 H.upf
ATOMIC_POSITIONS angstrom
Ho -5.349 -1.540 7.166
Ho -1.341 -5.402 5.835
Ho -1.317 -1.543 4.980
Ho -4.008 3.862 5.835
Ho -0.678 1.912 4.980
Ho -1.995 0.369 8.021
Ho 1.995 -0.369 4.980
Ho 0.678 -1.912 8.021
Ho 4.008 -3.862 7.166
Ho 1.317 1.543 8.021
Ho 1.341 5.402 7.166
Ho 5.349 1.540 5.835
Tl -3.617 0.623 5.406
Tl -2.347 -2.821 7.595
Tl 1.269 -3.443 5.406
Tl -1.269 3.443 7.595
Tl 2.347 2.821 5.406
Tl 3.617 -0.623 7.595
H 0.000 0.000 6.501
CELL_PARAMETERS angstrom
5.993 3.460 4.334
-5.993 3.460 4.334
0.000 -6.920 4.334
! Electronic total energy, eV/atom: -3.973
! Crystal system: trigonal
! Density, g/cm3: 9.875
! Total magnetization, μB per formula unit: 0.00
! Symmetry: R-3 (148)

---

(8)
! LaTa2Ge, optimized geometry, DFT PBE-GGA; values from VASP
&SYSTEM
  ibrav = 0, nat = 8, ntyp = 3
/
ATOMIC_SPECIES
La 138.91 La.upf
Ta 180.95 Ta.upf
Ge 72.64 Ge.upf
ATOMIC_POSITIONS angstrom
La 0.000 0.000 0.000
La 0.000 4.041 1.423
Ta 2.021 2.532 -0.711
Ta 5.550 2.021 0.711
Ta 2.021 1.509 2.134
Ta -1.509 2.021 3.557
Ge 4.041 0.000 1.423
Ge 0.000 0.000 2.846
CELL_PARAMETERS angstrom
-4.041 4.041 2.846
4.041 -4.041 2.846
4.041 4.041 -2.846
! Electronic total energy, eV/atom: -7.795
! Crystal system: tetragonal
! Density, g/cm3: 10.245
! Total magnetization, μB per formula unit: 0.00
! Symmetry: I-42d (122)

---

(9)
! InPd3Au6, optimized geometry, DFT PBE-GGA; values from VASP
&SYSTEM
  ibrav = 0, nat = 20, ntyp = 3
/
ATOMIC_SPECIES
In 114.82 In.upf
Pd 106.42 Pd.upf
Au 196.97 Au.upf
ATOMIC_POSITIONS angstrom
In 0.203 1.073 3.623
In 7.671 3.218 5.724
Pd 2.207 1.073 0.048
Pd 2.320 3.218 7.540
Pd 3.395 1.073 5.618
Pd 4.480 3.218 3.729
Pd 5.554 1.073 1.807
Pd 5.667 3.218 9.300
Au -0.337 3.218 8.466
Au 0.721 1.073 6.593
Au 1.233 3.218 1.871
Au 1.788 3.218 4.765
Au 2.948 1.073 2.816
Au 3.921 3.218 0.927
Au 3.954 1.073 8.421
Au 4.927 3.218 6.531
Au 6.087 1.073 4.583
Au 6.642 1.073 7.476
Au 7.153 3.218 2.755
Au 8.211 1.073 0.881
CELL_PARAMETERS angstrom
8.758 0.000 0.000
0.000 4.290 0.000
-0.884 0.000 9.348
! Electronic total energy, eV/atom: -3.900
! Crystal system: monoclinic
! Density, g/cm3: 15.278
! Total magnetization, μB per formula unit: 0.00
! Symmetry: P2_1/m (11)

---

(10)
! ErSc3C2, optimized geometry, DFT PBE-GGA; values from VASP
&SYSTEM
  ibrav = 0, nat = 12, ntyp = 3
/
ATOMIC_SPECIES
Er 167.26 Er.upf
Sc 44.96 Sc.upf
C 12.01 C.upf
ATOMIC_POSITIONS angstrom
Er 0.000 3.903 1.412
Er 3.380 1.951 4.412
Sc 0.000 1.960 4.621
Sc -1.682 4.874 4.621
Sc 1.698 0.980 1.203
Sc 1.682 4.874 4.621
Sc 5.062 0.980 1.203
Sc 3.380 3.894 1.203
C 0.000 0.000 0.000
C -1.690 2.927 0.000
C 3.380 0.000 0.000
C 1.690 2.927 0.000
CELL_PARAMETERS angstrom
6.760 0.000 0.000
-3.380 5.854 0.000
0.000 0.000 5.824
! Electronic total energy, eV/atom: -7.386
! Crystal system: trigonal
! Density, g/cm3: 4.700
! Total magnetization, μB per formula unit: 0.10
! Symmetry: P-3m1 (164)

---

(11)
! Ba5Bi2PBr, optimized geometry, DFT PBE-GGA; values from VASP
&SYSTEM
  ibrav = 0, nat = 9, ntyp = 4
/
ATOMIC_SPECIES
Ba 137.33 Ba.upf
Bi 208.98 Bi.upf
P 30.97 P.upf
Br 79.90 Br.upf
ATOMIC_POSITIONS angstrom
Ba 0.000 0.000 0.000
Ba 2.980 1.988 -2.535
Ba 2.980 1.988 2.535
Ba 0.000 2.329 6.259
Ba 0.000 2.329 11.330
Bi 0.000 0.000 3.568
Bi 0.000 0.000 14.022
P 2.980 0.000 0.000
Br 0.000 4.317 0.000
CELL_PARAMETERS angstrom
-2.980 4.317 8.795
2.980 -4.317 8.795
2.980 4.317 -8.795
! Energy relative to the elements, uncorrected, kcal/mol of atoms: -23.4
! Electronic total energy, eV/atom: -3.734
! Crystal system: orthorhombic
! Density, g/cm3: 4.460
! Total magnetization, μB per formula unit: 0.00
! Symmetry: Immm (71)

---

(12)
! TaTcAg2, optimized geometry, DFT PBE-GGA; values from VASP
&SYSTEM
  ibrav = 0, nat = 8, ntyp = 3
/
ATOMIC_SPECIES
Ta 180.95 Ta.upf
Tc 98.00 Tc.upf
Ag 107.87 Ag.upf
ATOMIC_POSITIONS angstrom
Ta 0.000 0.000 0.000
Ta 0.000 1.868 5.170
Tc 1.868 0.000 5.170
Tc 0.000 0.000 10.340
Ag 0.934 -0.921 7.755
Ag 0.947 0.934 2.585
Ag 0.934 2.788 -2.585
Ag 0.921 0.934 12.925
CELL_PARAMETERS angstrom
-1.868 1.868 10.340
1.868 -1.868 10.340
1.868 1.868 -10.340
! Electronic total energy, eV/atom: -6.360
! Crystal system: tetragonal
! Density, g/cm3: 11.390
! Total magnetization, μB per formula unit: 0.00
! Symmetry: I-42d (122)

---

Repeat the fourth record exactly.
! LiAlSe2, optimized geometry, DFT PBE-GGA; values from VASP
&SYSTEM
  ibrav = 0, nat = 4, ntyp = 3
/
ATOMIC_SPECIES
Li 6.94 Li.upf
Al 26.98 Al.upf
Se 78.96 Se.upf
ATOMIC_POSITIONS angstrom
Li 0.000 0.000 0.000
Al 1.787 1.787 3.545
Se 0.000 0.000 2.722
Se 1.787 1.787 5.896
CELL_PARAMETERS angstrom
3.574 0.000 0.000
0.000 3.574 0.000
0.000 0.000 6.443
! Energy relative to the elements, uncorrected, kcal/mol of atoms: -19.3
! Electronic total energy, eV/atom: -3.992
! Crystal system: tetragonal
! Density, g/cm3: 3.870
! Total magnetization, μB per formula unit: 0.00
! Symmetry: P4mm (99)

---

Repeat the second record exactly.
! Ac2GaPt, optimized geometry, DFT PBE-GGA; values from VASP
&SYSTEM
  ibrav = 0, nat = 8, ntyp = 3
/
ATOMIC_SPECIES
Ac 227.00 Ac.upf
Ga 69.72 Ga.upf
Pt 195.08 Pt.upf
ATOMIC_POSITIONS angstrom
Ac -0.075 1.127 3.438
Ac 1.607 3.382 0.478
Ac 1.673 1.127 7.841
Ac 3.354 3.382 4.881
Ga 0.135 3.382 5.889
Ga 3.144 1.127 2.429
Pt -1.578 1.127 6.591
Pt 4.857 3.382 1.728
CELL_PARAMETERS angstrom
6.331 0.000 0.000
0.000 4.510 0.000
-3.052 0.000 8.319
! Electronic total energy, eV/atom: -5.111
! Crystal system: monoclinic
! Density, g/cm3: 10.050
! Total magnetization, μB per formula unit: 0.00
! Symmetry: P2_1/m (11)